Ta2FeHg | PBE | relaxed

Lattice parameters (Å, degrees): 5.099 5.099 5.099 133.47 133.47 67.92
Atoms (fractional coordinates):
Ta 0.000 0.000 0.000
Ta 0.750 0.250 0.500
Fe 0.250 0.750 0.500
Hg 0.500 0.500 0.000

Calculated values
M_tot: 2.05 μB per formula unit
N(E_F): 5.7 states/eV/f.u.
energy of formation: 415 meV/atom